A relaxed Tb5NdHg3 crystal. Source: Alexandria, functional GGA-PBE.

Lattice parameters (Å, degrees): 9.1523 9.1523 6.9971 90.00 90.00 120.00
Closest atoms and distances in Å follow each position.
Sites, in units of the cell vectors:
Tb: 0.0000 0.3307 0.2500  3 Hg 3.02-3.07
Tb: 0.0000 0.6693 0.7500  3 Hg 3.02-3.07
Tb: 0.3307 0.0000 0.2500  3 Hg 3.02-3.07
Tb: 0.3307 0.3307 0.7500  3 Hg 3.02-3.07
Tb: 0.3333 0.6667 0.0000  6 Hg 3.49, 8 Tb 3.50-3.53
Tb: 0.3333 0.6667 0.5000  6 Hg 3.49, 8 Tb 3.50-3.53
Tb: 0.6667 0.3333 0.0000  6 Hg 3.49, 8 Tb 3.50-3.53
Tb: 0.6667 0.3333 0.5000  6 Hg 3.49, 8 Tb 3.50-3.53
Tb: 0.6693 0.0000 0.7500  3 Hg 3.02-3.07
Tb: 0.6693 0.6693 0.2500  3 Hg 3.02-3.07
Nd: 0.0000 0.0000 0.0000  6 Tb 3.50, 2 Nd 3.50, 6 Hg 3.57
Nd: 0.0000 0.0000 0.5000  6 Tb 3.50, 2 Nd 3.50, 6 Hg 3.57
Hg: 0.0000 0.3396 0.7500  3 Tb 3.02-3.07
Hg: 0.0000 0.6604 0.2500  3 Tb 3.02-3.07
Hg: 0.3396 0.0000 0.7500  3 Tb 3.02-3.07
Hg: 0.3396 0.3396 0.2500  3 Tb 3.02-3.07
Hg: 0.6604 0.0000 0.2500  3 Tb 3.02-3.07
Hg: 0.6604 0.6604 0.7500  3 Tb 3.02-3.07

Values from the calculation:
SG: P6_3/mcm (193)
E_tot (eV/atom): -3.496
Calculated volume (Å³ per atom): 28.200
Density of states at the Fermi level (states/eV/cell): 14.3
M_tot (μB/f.u.): 0.0

***

A relaxed LiTe2Rh2 crystal. Source: Alexandria, functional GGA-PBE.

Lattice parameters (Å, degrees): 7.3735 7.3735 7.3735 148.02 148.02 45.85
Closest atoms and distances in Å follow each position.
Sites, in units of the cell vectors:
Li: 0.0000 0.0000 0.0000  8 Te 3.35
Te: 0.3731 0.3731 0.0000  4 Rh 2.63
Te: 0.6269 0.6269 0.0000  4 Rh 2.63
Rh: 0.2500 0.7500 0.5000  4 Te 2.63, 4 Rh 2.87
Rh: 0.7500 0.2500 0.5000  4 Te 2.63, 4 Rh 2.87

Values from the calculation:
SG: I4/mmm (139)
Uncorrected formation energy (eV per atom): -0.313
E_tot (eV/atom): -4.893
Calculated volume (Å³ per atom): 22.412
Density of states at the Fermi level (states/eV/cell): 4.1
M_tot (μB/f.u.): 0.0

***

A relaxed CrCu2SnPb crystal. Source: Alexandria, functional GGA-PBE.

Lattice parameters (Å, degrees): 4.8929 4.8929 5.9060 90.00 90.00 90.00
Closest atoms and distances in Å follow each position.
Sites, in units of the cell vectors:
Cr: 0.0000 0.0000 0.0000  4 Sn 3.46, 8 Cu 3.83
Cu: 0.0000 0.5000 0.5000  2 Pb 2.45
Cu: 0.5000 0.0000 0.5000  2 Pb 2.45
Sn: 0.5000 0.5000 0.0000  2 Pb 2.95
Pb: 0.5000 0.5000 0.5000  4 Cu 2.45

Values from the calculation:
SG: P4/mmm (123)
E_tot (eV/atom): -3.969
Calculated volume (Å³ per atom): 28.278
Density of states at the Fermi level (states/eV/cell): 2.8
M_tot (μB/f.u.): 4.9

***

A relaxed CsGa2AsO6 crystal. Source: Alexandria, functional GGA-PBE.

Lattice parameters (Å, degrees): 7.7629 7.7629 6.2398 104.32 104.32 99.96
Closest atoms and distances in Å follow each position.
Sites, in units of the cell vectors:
Cs: 0.1475 0.8525 0.7500  8 O 2.99-3.15
Cs: 0.8525 0.1475 0.2500  8 O 2.99-3.15
Ga: 0.1984 0.3370 0.8860  4 O 1.82-1.96
Ga: 0.3370 0.1984 0.3860  4 O 1.82-1.96
Ga: 0.6630 0.8016 0.6140  4 O 1.82-1.96
Ga: 0.8016 0.6630 0.1140  4 O 1.82-1.96
As: 0.2795 0.7205 0.2500  4 O 1.71-1.73
As: 0.7205 0.2795 0.7500  4 O 1.71-1.73
O: 0.0554 0.6546 0.2436  1 As 1.71
O: 0.2092 0.2342 0.1206  2 Ga 1.82
O: 0.2342 0.2092 0.6206  2 Ga 1.82
O: 0.3143 0.5916 0.0024  1 As 1.73, 1 Ga 1.90
O: 0.3454 0.9446 0.2564  1 As 1.71
O: 0.4084 0.6857 0.4976  1 As 1.73, 1 Ga 1.90
O: 0.5916 0.3143 0.5024  1 As 1.73, 1 Ga 1.90
O: 0.6546 0.0554 0.7436  1 As 1.71
O: 0.6857 0.4084 0.9976  1 As 1.73, 1 Ga 1.90
O: 0.7658 0.7908 0.3794  2 Ga 1.82
O: 0.7908 0.7658 0.8794  2 Ga 1.82
O: 0.9446 0.3454 0.7564  1 As 1.71

Values from the calculation:
SG: C2/c (15)
Uncorrected formation energy (eV per atom): -1.623
E_tot (eV/atom): -5.753
Calculated volume (Å³ per atom): 17.094
Density of states at the Fermi level (states/eV/cell): 0.0
M_tot (μB/f.u.): 0.1

***

A relaxed PrSm2Al6 crystal. Source: Alexandria, functional GGA-PBE.

Lattice parameters (Å, degrees): 8.0238 8.0238 8.0238 147.57 125.58 64.80
Closest atoms and distances in Å follow each position.
Sites, in units of the cell vectors:
Pr: 0.0000 0.0000 0.0000  4 Al 3.23
Sm: 0.3748 0.8748 0.5000  10 Al 2.96-3.27
Sm: 0.6252 0.1252 0.5000  10 Al 2.96-3.27
Al: 0.0096 0.3166 0.6930  2 Al 2.64-2.83, 1 Sm 2.96
Al: 0.3164 0.5000 0.8164  3 Al 2.64-2.70
Al: 0.3764 0.6834 0.6930  2 Al 2.64-2.83, 1 Sm 2.96
Al: 0.6236 0.3166 0.3070  2 Al 2.64-2.83, 1 Sm 2.96
Al: 0.6836 0.5000 0.1836  3 Al 2.64-2.70
Al: 0.9904 0.6834 0.3070  2 Al 2.64-2.83, 1 Sm 2.96

Values from the calculation:
SG: Immm (71)
Distance to the lowest polymorph of the same formula (eV/atom): 0.2387
E_tot (eV/atom): -4.315
Calculated volume (Å³ per atom): 24.754
Density of states at the Fermi level (states/eV/cell): 5.1
M_tot (μB/f.u.): 0.0

***

A relaxed Hf2ScPd crystal. Source: Alexandria, functional GGA-PBE.

Lattice parameters (Å, degrees): 3.3229 3.3229 7.3983 90.00 90.00 90.00
Closest atoms and distances in Å follow each position.
Sites, in units of the cell vectors:
Hf: 0.0000 0.0000 0.2238  4 Pd 2.87, 4 Sc 3.11
Hf: 0.0000 0.0000 0.7762  4 Pd 2.87, 4 Sc 3.11
Sc: 0.5000 0.5000 0.5000  8 Hf 3.11, 4 Sc 3.32
Pd: 0.5000 0.5000 0.0000  8 Hf 2.87

Values from the calculation:
SG: P4/mmm (123)
Distance to the lowest polymorph of the same formula (eV/atom): 0.0000
E_tot (eV/atom): -8.113
Calculated volume (Å³ per atom): 20.423
Density of states at the Fermi level (states/eV/cell): 5.7
M_tot (μB/f.u.): 0.0

***

A relaxed CsHoBeTe3 crystal. Source: Alexandria, functional GGA-PBE.

Lattice parameters (Å, degrees): 10.8726 10.8726 9.5140 100.26 100.26 22.74
Closest atoms and distances in Å follow each position.
Sites, in units of the cell vectors:
Cs: 0.1382 0.1382 0.4525  7 Te 3.79-4.05
Cs: 0.8618 0.8618 0.5475  7 Te 3.79-4.05
Ho: 0.1615 0.1615 0.9493  6 Te 3.03-3.11
Ho: 0.8385 0.8385 0.0507  6 Te 3.03-3.11
Be: 0.4793 0.4793 0.1286  4 Te 2.51-2.53, 1 Be 2.75
Be: 0.5207 0.5207 0.8714  4 Te 2.51-2.53, 1 Be 2.75
Te: 0.0363 0.0363 0.7397  2 Be 2.53
Te: 0.2747 0.2747 0.2066  3 Ho 3.06-3.11
Te: 0.4044 0.4044 0.8924  2 Be 2.51-2.52
Te: 0.5956 0.5956 0.1076  2 Be 2.51-2.52
Te: 0.7253 0.7253 0.7934  3 Ho 3.06-3.11
Te: 0.9637 0.9637 0.2603  2 Be 2.53

Values from the calculation:
SG: C2/m (12)
Uncorrected formation energy (eV per atom): -0.999
E_tot (eV/atom): -4.097
Calculated volume (Å³ per atom): 35.625
M_tot (μB/f.u.): 0.0

***

A relaxed Er4SiPSe2 crystal. Source: Alexandria, functional GGA-PBE.

Lattice parameters (Å, degrees): 6.9879 4.0342 7.0430 90.00 109.26 90.00
Closest atoms and distances in Å follow each position.
Sites, in units of the cell vectors:
Er: 0.2435 0.0000 0.2304  1 Si 2.79, 2 P 2.79, 3 Se 2.94
Er: 0.2555 0.5000 0.7669  1 P 2.80, 2 Si 2.80, 3 Se 2.93
Er: 0.7445 0.5000 0.2331  1 P 2.80, 2 Si 2.80, 3 Se 2.93
Er: 0.7565 0.0000 0.7696  1 Si 2.79, 2 P 2.79, 3 Se 2.94
Si: 0.5000 0.0000 0.0000  6 Er 2.79-2.80
P: 0.0000 0.5000 0.0000  6 Er 2.79-2.80
Se: 0.0000 0.0000 0.5000  6 Er 2.93-2.94
Se: 0.5000 0.5000 0.5000  6 Er 2.93-2.94

Values from the calculation:
SG: P2/m (10)
Uncorrected formation energy (eV per atom): -1.538
E_tot (eV/atom): -6.045
Calculated volume (Å³ per atom): 23.429
Density of states at the Fermi level (states/eV/cell): 1.2
M_tot (μB/f.u.): 0.0

***

A relaxed LiPa2S2N2 crystal. Source: Alexandria, functional GGA-PBE.

Lattice parameters (Å, degrees): 3.9119 3.9119 10.7857 90.00 90.00 120.00
Closest atoms and distances in Å follow each position.
Sites, in units of the cell vectors:
Li: 0.0000 0.0000 0.0000  2 S 2.26
Pa: 0.3333 0.6667 0.6321  4 N 2.25-2.34
Pa: 0.6667 0.3333 0.3679  4 N 2.25-2.34
S: 0.0000 0.0000 0.2094  1 Li 2.26
S: 0.0000 0.0000 0.7906  1 Li 2.26
N: 0.3333 0.6667 0.4236  4 Pa 2.25-2.34
N: 0.6667 0.3333 0.5764  4 Pa 2.25-2.34

Values from the calculation:
SG: P-3m1 (164)
Uncorrected formation energy (eV per atom): -1.669
E_tot (eV/atom): -8.213
Calculated volume (Å³ per atom): 20.420
Density of states at the Fermi level (states/eV/cell): 2.9
M_tot (μB/f.u.): 0.9

***

A relaxed Rb2NbWBr6 crystal. Source: Alexandria, functional GGA-PBE.

Lattice parameters (Å, degrees): 7.7389 7.7389 7.7389 120.10 120.10 89.82
Closest atoms and distances in Å follow each position.
Sites, in units of the cell vectors:
Rb: 0.2500 0.7500 0.5000  12 Br 3.86-3.87
Rb: 0.7500 0.2500 0.5000  12 Br 3.86-3.87
Nb: 0.0000 0.0000 0.0000  6 Br 2.79
W: 0.5000 0.5000 0.0000  6 Br 2.68-2.69
Br: 0.2546 0.2546 0.0000  1 W 2.69, 1 Nb 2.79
Br: 0.2550 0.2550 0.5101  1 W 2.68, 1 Nb 2.79
Br: 0.2550 0.7450 0.0000  1 W 2.68, 1 Nb 2.79
Br: 0.7450 0.2550 0.0000  1 W 2.68, 1 Nb 2.79
Br: 0.7454 0.7454 0.0000  1 W 2.69, 1 Nb 2.79
Br: 0.7450 0.7450 0.4899  1 W 2.68, 1 Nb 2.79

Values from the calculation:
SG: I4/mmm (139)
Uncorrected formation energy (eV per atom): -0.587
E_tot (eV/atom): -4.086
Calculated volume (Å³ per atom): 32.723
Density of states at the Fermi level (states/eV/cell): 3.6
M_tot (μB/f.u.): 7.0